Record 1
# ScZn2Hg (PBE-GGA, relaxed)
# ΔE_f in meV/atom: -234
# Space-group type: Cmcm
data_ScZn2Hg
_symmetry_space_group_name_H-M 'P 1'
_symmetry_Int_Tables_number 1
_symmetry_space_group_name_Hall 'P 1'
_cell_length_a 4.494
_cell_length_b 3.252
_cell_length_c 10.395
_cell_angle_alpha 99.00
_cell_angle_beta 90.00
_cell_angle_gamma 90.00
loop_
_atom_site_label
_atom_site_fract_x
_atom_site_fract_y
_atom_site_fract_z
Sc1 0.250 0.908 0.815
Sc2 0.750 0.092 0.185
Zn1 0.250 0.271 0.542
Zn2 0.750 0.729 0.458
Zn3 0.750 0.473 0.946
Zn4 0.250 0.527 0.054
Hg1 0.750 0.344 0.688
Hg2 0.250 0.656 0.312

Record 2
# SrZr2Hg (PBE-GGA, relaxed)
# ΔE_f in meV/atom: 408
# Space-group type: I-42d
data_SrZr2Hg
_symmetry_space_group_name_H-M 'P 1'
_symmetry_Int_Tables_number 1
_symmetry_space_group_name_Hall 'P 1'
_cell_length_a 4.369
_cell_length_b 4.369
_cell_length_c 11.922
_cell_angle_alpha 79.44
_cell_angle_beta 79.44
_cell_angle_gamma 90.00
loop_
_atom_site_label
_atom_site_fract_x
_atom_site_fract_y
_atom_site_fract_z
Sr1 0.500 0.500 0.000
Sr2 0.250 0.750 0.500
Hg1 0.000 0.000 0.000
Hg2 0.750 0.250 0.500
Zr1 0.651 0.125 0.250
Zr2 0.099 0.625 0.250
Zr3 0.375 0.349 0.750
Zr4 0.875 0.901 0.750

Record 3
# MnSnBi (PBE-GGA, relaxed)
# ΔE_f in meV/atom: 182
# Space-group type: P1
data_MnSnBi
_symmetry_space_group_name_H-M 'P 1'
_symmetry_Int_Tables_number 1
_symmetry_space_group_name_Hall 'P 1'
_cell_length_a 6.964
_cell_length_b 6.901
_cell_length_c 6.954
_cell_angle_alpha 67.81
_cell_angle_beta 74.67
_cell_angle_gamma 89.17
loop_
_atom_site_label
_atom_site_fract_x
_atom_site_fract_y
_atom_site_fract_z
Bi1 0.116 0.152 0.300
Bi2 0.183 0.351 0.729
Bi3 0.668 0.369 0.266
Bi4 0.392 0.847 0.701
Mn1 0.067 0.577 0.026
Mn2 0.435 0.423 0.969
Mn3 0.498 0.010 0.250
Mn4 0.002 0.979 0.755
Sn1 0.821 0.629 0.745
Sn2 0.859 0.843 0.204
Sn3 0.650 0.153 0.810
Sn4 0.316 0.667 0.244

Record 4
# Cu2RuBr (PBE-GGA, relaxed)
# Space-group type: P4mm
# Formation energy without anion corrections in eV per atom: 0.55
data_Cu2RuBr
_symmetry_space_group_name_H-M 'P 1'
_symmetry_Int_Tables_number 1
_symmetry_space_group_name_Hall 'P 1'
_cell_length_a 3.125
_cell_length_b 3.125
_cell_length_c 6.430
_cell_angle_alpha 90.00
_cell_angle_beta 90.00
_cell_angle_gamma 90.00
loop_
_atom_site_label
_atom_site_fract_x
_atom_site_fract_y
_atom_site_fract_z
Br1 0.500 0.500 0.744
Cu1 0.000 0.000 0.051
Cu2 0.500 0.500 0.242
Ru1 0.000 0.000 0.462

Record 5
# DyMoN2 (PBE-GGA, relaxed)
# Space-group type: Pnma
# Formation energy without anion corrections in eV per atom: -1.14
data_DyMoN2
_symmetry_space_group_name_H-M 'P 1'
_symmetry_Int_Tables_number 1
_symmetry_space_group_name_Hall 'P 1'
_cell_length_a 3.209
_cell_length_b 5.713
_cell_length_c 10.605
_cell_angle_alpha 90.00
_cell_angle_beta 90.00
_cell_angle_gamma 90.00
loop_
_atom_site_label
_atom_site_fract_x
_atom_site_fract_y
_atom_site_fract_z
Dy1 0.750 0.078 0.146
Dy2 0.250 0.922 0.854
Dy3 0.750 0.578 0.354
Dy4 0.250 0.422 0.646
Mo1 0.250 0.566 0.093
Mo2 0.250 0.066 0.407
Mo3 0.750 0.434 0.907
Mo4 0.750 0.934 0.593
N1 0.750 0.258 0.493
N2 0.250 0.742 0.507
N3 0.750 0.758 0.007
N4 0.250 0.242 0.993
N5 0.750 0.165 0.750
N6 0.250 0.335 0.250
N7 0.750 0.665 0.750
N8 0.250 0.835 0.250

Record 6
# YTl2Pt (PBE-GGA, relaxed)
# ΔE_f in meV/atom: -457
# Space-group type: Pm
data_YTl2Pt
_symmetry_space_group_name_H-M 'P 1'
_symmetry_Int_Tables_number 1
_symmetry_space_group_name_Hall 'P 1'
_cell_length_a 3.999
_cell_length_b 3.817
_cell_length_c 7.054
_cell_angle_alpha 73.98
_cell_angle_beta 90.00
_cell_angle_gamma 90.00
loop_
_atom_site_label
_atom_site_fract_x
_atom_site_fract_y
_atom_site_fract_z
Pt1 0.500 0.964 0.690
Tl1 0.000 0.815 0.004
Tl2 0.500 0.187 0.251
Y1 0.000 0.533 0.555

Record 7
# Pm2PrCrN4 (PBE-GGA, relaxed)
# Space-group type: Cmcm
# Formation energy without anion corrections in eV per atom: -1.08
data_Pm2PrCrN4
_symmetry_space_group_name_H-M 'P 1'
_symmetry_Int_Tables_number 1
_symmetry_space_group_name_Hall 'P 1'
_cell_length_a 3.488
_cell_length_b 6.174
_cell_length_c 12.009
_cell_angle_alpha 90.00
_cell_angle_beta 90.00
_cell_angle_gamma 106.41
loop_
_atom_site_label
_atom_site_fract_x
_atom_site_fract_y
_atom_site_fract_z
Pm1 0.368 0.736 0.543
Pm2 0.632 0.264 0.043
Pm3 0.632 0.264 0.457
Pm4 0.368 0.736 0.957
Pr1 0.097 0.194 0.750
Pr2 0.903 0.806 0.250
Cr1 0.831 0.661 0.750
Cr2 0.169 0.339 0.250
N1 0.268 0.535 0.134
N2 0.732 0.465 0.634
N3 0.732 0.465 0.866
N4 0.268 0.535 0.366
N5 0.000 0.000 0.500
N6 0.000 0.000 0.000
N7 0.416 0.831 0.750
N8 0.584 0.169 0.250

Record 8
# KCaCr (PBE-GGA, relaxed)
# ΔE_f in meV/atom: 1200
# Space-group type: F-43m
data_KCaCr
_symmetry_space_group_name_H-M 'P 1'
_symmetry_Int_Tables_number 1
_symmetry_space_group_name_Hall 'P 1'
_cell_length_a 5.683
_cell_length_b 5.683
_cell_length_c 5.683
_cell_angle_alpha 60.00
_cell_angle_beta 60.00
_cell_angle_gamma 60.00
loop_
_atom_site_label
_atom_site_fract_x
_atom_site_fract_y
_atom_site_fract_z
Ca1 0.000 0.000 0.000
Cr1 0.500 0.500 0.500
K1 0.750 0.750 0.750

Record 9
# Zr6CdHg5 (PBE-GGA, relaxed)
# ΔE_f in meV/atom: -131
# Space-group type: Cmmm
data_Zr6CdHg5
_symmetry_space_group_name_H-M 'P 1'
_symmetry_Int_Tables_number 1
_symmetry_space_group_name_Hall 'P 1'
_cell_length_a 4.984
_cell_length_b 7.036
_cell_length_c 7.885
_cell_angle_alpha 90.00
_cell_angle_beta 71.58
_cell_angle_gamma 90.00
loop_
_atom_site_label
_atom_site_fract_x
_atom_site_fract_y
_atom_site_fract_z
Hg1 0.666 0.500 0.667
Hg2 0.336 0.000 0.328
Hg3 0.000 0.500 0.000
Hg4 0.664 0.000 0.672
Hg5 0.334 0.500 0.333
Zr1 0.832 0.751 0.336
Zr2 0.832 0.249 0.336
Zr3 0.500 0.253 0.000
Zr4 0.500 0.747 0.000
Zr5 0.168 0.751 0.664
Zr6 0.168 0.249 0.664
Cd1 0.000 0.000 0.000

Record 10
# LaAl2Se (PBE-GGA, relaxed)
# Space-group type: Immm
# Formation energy without anion corrections in eV per atom: -0.62
data_LaAl2Se
_symmetry_space_group_name_H-M 'P 1'
_symmetry_Int_Tables_number 1
_symmetry_space_group_name_Hall 'P 1'
_cell_length_a 6.236
_cell_length_b 6.236
_cell_length_c 6.236
_cell_angle_alpha 140.95
_cell_angle_beta 141.17
_cell_angle_gamma 56.25
loop_
_atom_site_label
_atom_site_fract_x
_atom_site_fract_y
_atom_site_fract_z
Al1 0.001 0.001 0.000
Al2 0.499 0.499 0.000
Se1 0.750 0.250 0.500
La1 0.250 0.750 0.500

Record 11
# CePr6ErTm2 (PBE-GGA, relaxed)
# ΔE_f in meV/atom: 232
# Space-group type: C2/m
data_CePr6ErTm2
_symmetry_space_group_name_H-M 'P 1'
_symmetry_Int_Tables_number 1
_symmetry_space_group_name_Hall 'P 1'
_cell_length_a 8.854
_cell_length_b 7.155
_cell_length_c 6.667
_cell_angle_alpha 122.45
_cell_angle_beta 100.85
_cell_angle_gamma 90.00
loop_
_atom_site_label
_atom_site_fract_x
_atom_site_fract_y
_atom_site_fract_z
Ce1 0.000 0.500 0.000
Pr1 0.422 0.630 0.260
Pr2 0.203 0.061 0.660
Pr3 0.797 0.401 0.340
Pr4 0.203 0.599 0.660
Pr5 0.797 0.939 0.340
Pr6 0.578 0.370 0.740
Er1 0.500 0.000 0.000
Tm1 0.162 0.093 0.186
Tm2 0.838 0.907 0.814

Record 12
# K2LiAsF6 (PBE-GGA, relaxed)
# Space-group type: Fm-3m
# Formation energy without anion corrections in eV per atom: -2.58
data_K2LiAsF6
_symmetry_space_group_name_H-M 'P 1'
_symmetry_Int_Tables_number 1
_symmetry_space_group_name_Hall 'P 1'
_cell_length_a 5.893
_cell_length_b 5.893
_cell_length_c 5.893
_cell_angle_alpha 60.00
_cell_angle_beta 60.00
_cell_angle_gamma 60.00
loop_
_atom_site_label
_atom_site_fract_x
_atom_site_fract_y
_atom_site_fract_z
K1 0.750 0.750 0.750
K2 0.250 0.250 0.250
Li1 0.500 0.500 0.500
As1 0.000 0.000 0.000
F1 0.751 0.249 0.249
F2 0.249 0.249 0.751
F3 0.249 0.751 0.751
F4 0.249 0.751 0.249
F5 0.751 0.249 0.751
F6 0.751 0.751 0.249

Number 1: M_tot 0.0 Bohr magnetons per cell. Number 2: M_tot 0.0 Bohr magnetons per cell. Number 3: M_tot 12.1 Bohr magnetons per cell. Number 4: M_tot 1.9 Bohr magnetons per cell. Number 5: M_tot 0.0 Bohr magnetons per cell. Number 6: M_tot 0.0 Bohr magnetons per cell. Number 7: M_tot 3.5 Bohr magnetons per cell. Number 8: M_tot 5.1 Bohr magnetons per cell. Number 9: M_tot 0.0 Bohr magnetons per cell. Number 10: M_tot 0.0 Bohr magnetons per cell. Number 11: M_tot 1.2 Bohr magnetons per cell. Number 12: M_tot 0.0 Bohr magnetons per cell.